Computed, not measured: a relaxed structure of MgSi2Mo at the GGA-PBEsol level of DFT.

CIF file:
```
data_MgSi2Mo
_chemical_formula_sum 'Mg1 Si2 Mo1'
_cell_length_a 3.032
_cell_length_b 3.032
_cell_length_c 8.242
_cell_angle_alpha 79.40
_cell_angle_beta 79.40
_cell_angle_gamma 60.00
_space_group_name_H-M_alt 'P 1'
_space_group_IT_number 1
loop_
_space_group_symop_operation_xyz
'x,y,z'
loop_
_atom_site_label
_atom_site_type_symbol
_atom_site_fract_x
_atom_site_fract_y
_atom_site_fract_z
Mg1 Mg 0.500 0.500 0.500
Mo1 Mo 0.000 0.000 0.000
Si1 Si 0.258 0.258 0.226
Si2 Si 0.742 0.742 0.774
```

As for the uncorrected formation energy: -0.070 eV/atom. The density of states at the Fermi level is 1.6 states/eV/cell.

Computed, not measured: a relaxed structure of MgSiMo2 at the GGA-PBEsol level of DFT.

CIF file:
```
data_MgSiMo2
_chemical_formula_sum 'Mg1 Si1 Mo2'
_cell_length_a 3.797
_cell_length_b 3.797
_cell_length_c 4.154
_cell_angle_alpha 90.00
_cell_angle_beta 90.00
_cell_angle_gamma 90.00
_space_group_name_H-M_alt 'P 1'
_space_group_IT_number 1
loop_
_space_group_symop_operation_xyz
'x,y,z'
loop_
_atom_site_label
_atom_site_type_symbol
_atom_site_fract_x
_atom_site_fract_y
_atom_site_fract_z
Mg1 Mg 0.000 0.000 0.500
Mo1 Mo 0.000 0.500 0.000
Mo2 Mo 0.500 0.000 0.000
Si1 Si 0.500 0.500 0.500
```

As for the uncorrected formation energy: 0.182 eV/atom. The density of states at the Fermi level is 3.4 states/eV/cell.

Computed, not measured: a relaxed structure of MgSi2Mo at the GGA-PBEsol level of DFT.

CIF file:
```
data_MgSi2Mo
_chemical_formula_sum 'Mg1 Si2 Mo1'
_cell_length_a 3.701
_cell_length_b 3.701
_cell_length_c 4.982
_cell_angle_alpha 111.80
_cell_angle_beta 111.80
_cell_angle_gamma 90.00
_space_group_name_H-M_alt 'P 1'
_space_group_IT_number 1
loop_
_space_group_symop_operation_xyz
'x,y,z'
loop_
_atom_site_label
_atom_site_type_symbol
_atom_site_fract_x
_atom_site_fract_y
_atom_site_fract_z
Mg1 Mg 0.500 0.500 0.000
Mo1 Mo 0.250 0.750 0.500
Si1 Si 0.000 0.000 0.000
Si2 Si 0.750 0.250 0.500
```

As for the uncorrected formation energy: 0.018 eV/atom. The density of states at the Fermi level is 3.0 states/eV/cell.

Computed, not measured: a relaxed structure of MgSiMo at the GGA-PBEsol level of DFT.

CIF file:
```
data_MgSiMo
_chemical_formula_sum 'Mg1 Si1 Mo1'
_cell_length_a 2.784
_cell_length_b 2.784
_cell_length_c 6.597
_cell_angle_alpha 99.00
_cell_angle_beta 99.00
_cell_angle_gamma 104.97
_space_group_name_H-M_alt 'P 1'
_space_group_IT_number 1
loop_
_space_group_symop_operation_xyz
'x,y,z'
loop_
_atom_site_label
_atom_site_type_symbol
_atom_site_fract_x
_atom_site_fract_y
_atom_site_fract_z
Mg1 Mg 0.999 0.999 0.998
Mo1 Mo 0.322 0.322 0.643
Si1 Si 0.679 0.679 0.358
```

As for the uncorrected formation energy: 0.095 eV/atom. The density of states at the Fermi level is 1.2 states/eV/cell.

Computed, not measured: a relaxed structure of MgSiMo2 at the GGA-PBEsol level of DFT.

CIF file:
```
data_MgSiMo2
_chemical_formula_sum 'Mg1 Si1 Mo2'
_cell_length_a 3.256
_cell_length_b 3.256
_cell_length_c 5.952
_cell_angle_alpha 90.00
_cell_angle_beta 90.00
_cell_angle_gamma 90.00
_space_group_name_H-M_alt 'P 1'
_space_group_IT_number 1
loop_
_space_group_symop_operation_xyz
'x,y,z'
loop_
_atom_site_label
_atom_site_type_symbol
_atom_site_fract_x
_atom_site_fract_y
_atom_site_fract_z
Mg1 Mg 0.500 0.500 0.500
Mo1 Mo 0.000 0.000 0.802
Mo2 Mo 0.000 0.000 0.198
Si1 Si 0.500 0.500 0.000
```

As for the uncorrected formation energy: 0.062 eV/atom. The density of states at the Fermi level is 3.0 states/eV/cell.

Computed, not measured: a relaxed structure of MgSi2Mo at the GGA-PBEsol level of DFT.

CIF file:
```
data_MgSi2Mo
_chemical_formula_sum 'Mg1 Si2 Mo1'
_cell_length_a 4.360
_cell_length_b 4.360
_cell_length_c 4.360
_cell_angle_alpha 60.00
_cell_angle_beta 60.00
_cell_angle_gamma 60.00
_space_group_name_H-M_alt 'P 1'
_space_group_IT_number 1
loop_
_space_group_symop_operation_xyz
'x,y,z'
loop_
_atom_site_label
_atom_site_type_symbol
_atom_site_fract_x
_atom_site_fract_y
_atom_site_fract_z
Mg1 Mg 0.500 0.500 0.500
Mo1 Mo 0.250 0.250 0.250
Si1 Si 0.000 0.000 0.000
Si2 Si 0.750 0.750 0.750
```

As for the uncorrected formation energy: 0.443 eV/atom. The density of states at the Fermi level is 2.8 states/eV/cell.

Computed, not measured: a relaxed structure of MgSiMo2 at the GGA-PBEsol level of DFT.

CIF file:
```
data_MgSiMo2
_chemical_formula_sum 'Mg1 Si1 Mo2'
_cell_length_a 2.692
_cell_length_b 2.692
_cell_length_c 8.622
_cell_angle_alpha 90.00
_cell_angle_beta 90.00
_cell_angle_gamma 90.00
_space_group_name_H-M_alt 'P 1'
_space_group_IT_number 1
loop_
_space_group_symop_operation_xyz
'x,y,z'
loop_
_atom_site_label
_atom_site_type_symbol
_atom_site_fract_x
_atom_site_fract_y
_atom_site_fract_z
Mg1 Mg 0.500 0.500 0.744
Mo1 Mo 0.000 0.000 0.007
Mo2 Mo 0.500 0.500 0.266
Si1 Si 0.000 0.000 0.482
```

As for the uncorrected formation energy: 0.246 eV/atom. The density of states at the Fermi level is 2.9 states/eV/cell.

Computed, not measured: a relaxed structure of MgSiMo2 at the GGA-PBEsol level of DFT.

CIF file:
```
data_MgSiMo2
_chemical_formula_sum 'Mg1 Si1 Mo2'
_cell_length_a 2.767
_cell_length_b 4.749
_cell_length_c 4.829
_cell_angle_alpha 98.70
_cell_angle_beta 90.00
_cell_angle_gamma 106.94
_space_group_name_H-M_alt 'P 1'
_space_group_IT_number 1
loop_
_space_group_symop_operation_xyz
'x,y,z'
loop_
_atom_site_label
_atom_site_type_symbol
_atom_site_fract_x
_atom_site_fract_y
_atom_site_fract_z
Mg1 Mg 0.756 0.513 0.252
Mo1 Mo 0.999 0.998 0.003
Mo2 Mo 0.240 0.481 0.738
Si1 Si 0.504 0.008 0.506
```

As for the uncorrected formation energy: 0.168 eV/atom. The density of states at the Fermi level is 2.9 states/eV/cell.

Computed, not measured: a relaxed structure of Mg2Sn2Mo at the GGA-PBEsol level of DFT.

CIF file:
```
data_Mg2Sn2Mo
_chemical_formula_sum 'Mg2 Sn2 Mo1'
_cell_length_a 3.705
_cell_length_b 3.705
_cell_length_c 7.973
_cell_angle_alpha 103.44
_cell_angle_beta 103.44
_cell_angle_gamma 90.00
_space_group_name_H-M_alt 'P 1'
_space_group_IT_number 1
loop_
_space_group_symop_operation_xyz
'x,y,z'
loop_
_atom_site_label
_atom_site_type_symbol
_atom_site_fract_x
_atom_site_fract_y
_atom_site_fract_z
Mg1 Mg 0.250 0.750 0.500
Mg2 Mg 0.750 0.250 0.500
Mo1 Mo 0.000 0.000 0.000
Sn1 Sn 0.406 0.406 0.811
Sn2 Sn 0.594 0.594 0.189
```

The calculation puts the formation enthalpy at 0 K at 235 kJ/mol of formula units. The density of states at the Fermi level is 3.3 states/eV/cell.

Computed, not measured: a relaxed structure of Sr2MgMo at the GGA-PBEsol level of DFT.

CIF file:
```
data_Sr2MgMo
_chemical_formula_sum 'Sr2 Mg1 Mo1'
_cell_length_a 3.864
_cell_length_b 5.024
_cell_length_c 6.655
_cell_angle_alpha 90.00
_cell_angle_beta 106.88
_cell_angle_gamma 90.00
_space_group_name_H-M_alt 'P 1'
_space_group_IT_number 1
loop_
_space_group_symop_operation_xyz
'x,y,z'
loop_
_atom_site_label
_atom_site_type_symbol
_atom_site_fract_x
_atom_site_fract_y
_atom_site_fract_z
Mg1 Mg 0.807 0.000 0.613
Mo1 Mo 0.696 0.500 0.392
Sr1 Sr 0.100 0.000 0.200
Sr2 Sr 0.406 0.500 0.812
```

The calculation puts the formation enthalpy at 0 K at 305 kJ/mol of formula units. The density of states at the Fermi level is 3.2 states/eV/cell.

Computed, not measured: a relaxed structure of Sr2MgMo at the GGA-PBEsol level of DFT.

CIF file:
```
data_Sr2MgMo
_chemical_formula_sum 'Sr2 Mg1 Mo1'
_cell_length_a 3.696
_cell_length_b 3.696
_cell_length_c 8.968
_cell_angle_alpha 90.00
_cell_angle_beta 90.00
_cell_angle_gamma 90.00
_space_group_name_H-M_alt 'P 1'
_space_group_IT_number 1
loop_
_space_group_symop_operation_xyz
'x,y,z'
loop_
_atom_site_label
_atom_site_type_symbol
_atom_site_fract_x
_atom_site_fract_y
_atom_site_fract_z
Mg1 Mg 0.000 0.000 0.567
Mo1 Mo 0.500 0.500 0.691
Sr1 Sr 0.000 0.000 0.929
Sr2 Sr 0.500 0.500 0.313
```

The calculation puts the formation enthalpy at 0 K at 259 kJ/mol of formula units. The density of states at the Fermi level is 3.7 states/eV/cell.

Computed, not measured: a relaxed structure of Sr2MgMo at the GGA-PBEsol level of DFT.

CIF file:
```
data_Sr2MgMo
_chemical_formula_sum 'Sr2 Mg1 Mo1'
_cell_length_a 3.720
_cell_length_b 5.587
_cell_length_c 6.648
_cell_angle_alpha 114.84
_cell_angle_beta 106.25
_cell_angle_gamma 90.00
_space_group_name_H-M_alt 'P 1'
_space_group_IT_number 1
loop_
_space_group_symop_operation_xyz
'x,y,z'
loop_
_atom_site_label
_atom_site_type_symbol
_atom_site_fract_x
_atom_site_fract_y
_atom_site_fract_z
Mg1 Mg 0.544 0.544 0.088
Mo1 Mo 0.226 0.726 0.451
Sr1 Sr 0.968 0.968 0.936
Sr2 Sr 0.762 0.262 0.525
```

The calculation puts the formation enthalpy at 0 K at 294 kJ/mol of formula units. The density of states at the Fermi level is 3.9 states/eV/cell.

Computed, not measured: a relaxed structure of Sr2MgMo at the GGA-PBEsol level of DFT.

CIF file:
```
data_Sr2MgMo
_chemical_formula_sum 'Sr2 Mg1 Mo1'
_cell_length_a 3.356
_cell_length_b 3.356
_cell_length_c 11.454
_cell_angle_alpha 81.58
_cell_angle_beta 81.58
_cell_angle_gamma 60.00
_space_group_name_H-M_alt 'P 1'
_space_group_IT_number 1
loop_
_space_group_symop_operation_xyz
'x,y,z'
loop_
_atom_site_label
_atom_site_type_symbol
_atom_site_fract_x
_atom_site_fract_y
_atom_site_fract_z
Mg1 Mg 0.500 0.500 0.500
Mo1 Mo 0.000 0.000 0.000
Sr1 Sr 0.259 0.259 0.223
Sr2 Sr 0.741 0.741 0.777
```

The calculation puts the formation enthalpy at 0 K at 343 kJ/mol of formula units. The density of states at the Fermi level is 3.2 states/eV/cell.

Computed, not measured: a relaxed structure of MgTaMo2 at the GGA-PBEsol level of DFT.

CIF file:
```
data_MgTaMo2
_chemical_formula_sum 'Mg1 Ta1 Mo2'
_cell_length_a 2.642
_cell_length_b 4.910
_cell_length_c 5.314
_cell_angle_alpha 91.48
_cell_angle_beta 90.00
_cell_angle_gamma 105.61
_space_group_name_H-M_alt 'P 1'
_space_group_IT_number 1
loop_
_space_group_symop_operation_xyz
'x,y,z'
loop_
_atom_site_label
_atom_site_type_symbol
_atom_site_fract_x
_atom_site_fract_y
_atom_site_fract_z
Mg1 Mg 0.249 0.498 0.753
Mo1 Mo 0.993 0.987 0.003
Mo2 Mo 0.754 0.508 0.245
Ta1 Ta 0.504 0.007 0.499
```

The calculation puts the formation enthalpy at 0 K at 140 kJ/mol of formula units. The density of states at the Fermi level is 2.9 states/eV/cell.

Computed, not measured: a relaxed structure of MgTa2Mo at the GGA-PBEsol level of DFT.

CIF file:
```
data_MgTa2Mo
_chemical_formula_sum 'Mg1 Ta2 Mo1'
_cell_length_a 2.753
_cell_length_b 4.586
_cell_length_c 5.537
_cell_angle_alpha 90.00
_cell_angle_beta 99.62
_cell_angle_gamma 90.00
_space_group_name_H-M_alt 'P 1'
_space_group_IT_number 1
loop_
_space_group_symop_operation_xyz
'x,y,z'
loop_
_atom_site_label
_atom_site_type_symbol
_atom_site_fract_x
_atom_site_fract_y
_atom_site_fract_z
Mg1 Mg 0.500 0.500 0.000
Mo1 Mo 0.000 0.500 0.500
Ta1 Ta 0.772 0.000 0.735
Ta2 Ta 0.228 0.000 0.265
```

The calculation puts the formation enthalpy at 0 K at 77 kJ/mol of formula units. The density of states at the Fermi level is 3.1 states/eV/cell.